# 1
The following is a PBE calculation of crystalline Pr5Y3Pd12 at its relaxed geometry, from the Alexandria database. Values from VASP.

```
&SYSTEM
  ibrav = 0, nat = 80, ntyp = 3
/
ATOMIC_SPECIES
Pd 106.42 Pd.upf
Pr 140.91 Pr.upf
Y 88.91 Y.upf
CELL_PARAMETERS angstrom
14.244 0.000 0.000
-4.748 13.429 0.000
-4.748 -6.715 11.630
ATOMIC_POSITIONS crystal
Pd 0.656 0.234 0.582
Pd 0.152 0.734 0.578
Pd 0.266 0.418 0.844
Pd 0.766 0.344 0.918
Pd 0.578 0.344 0.926
Pd 0.082 0.926 0.348
Pd 0.074 0.918 0.152
Pd 0.652 0.574 0.918
Pd 0.574 0.652 0.418
Pd 0.234 0.578 0.652
Pd 0.234 0.656 0.082
Pd 0.344 0.578 0.426
Pd 0.766 0.422 0.348
Pd 0.734 0.582 0.156
Pd 0.922 0.574 0.156
Pd 0.848 0.582 0.926
Pd 0.344 0.766 0.418
Pd 0.152 0.418 0.074
Pd 0.922 0.348 0.266
Pd 0.926 0.082 0.848
Pd 0.582 0.734 0.656
Pd 0.656 0.422 0.574
Pd 0.078 0.426 0.844
Pd 0.418 0.266 0.344
Pd 0.574 0.922 0.656
Pd 0.652 0.078 0.234
Pd 0.918 0.844 0.766
Pd 0.418 0.152 0.574
Pd 0.582 0.848 0.426
Pd 0.082 0.156 0.234
Pd 0.422 0.766 0.848
Pd 0.422 0.656 0.074
Pd 0.074 0.156 0.422
Pd 0.426 0.348 0.582
Pd 0.266 0.848 0.922
Pd 0.578 0.234 0.152
Pd 0.426 0.078 0.344
Pd 0.848 0.266 0.422
Pd 0.078 0.652 0.734
Pd 0.844 0.926 0.078
Pd 0.156 0.074 0.922
Pd 0.156 0.082 0.734
Pd 0.926 0.844 0.578
Pd 0.348 0.922 0.766
Pd 0.918 0.074 0.652
Pd 0.734 0.152 0.078
Pd 0.844 0.918 0.266
Pd 0.348 0.426 0.082
Pr 0.375 0.125 0.750
Pr 0.500 0.500 0.500
Pr 0.625 0.875 0.250
Pr 0.750 0.625 0.375
Pr 0.000 0.500 0.000
Pr 0.500 0.000 0.500
Pr 0.375 0.250 0.125
Pr 0.750 0.125 0.875
Pr 0.125 0.750 0.375
Pr 0.000 0.000 0.500
Pr 0.875 0.250 0.625
Pr 0.000 0.500 0.500
Pr 0.250 0.875 0.125
Pr 0.875 0.625 0.750
Pr 0.500 0.000 0.000
Pr 0.500 0.500 0.000
Pr 0.125 0.375 0.250
Pr 0.250 0.375 0.625
Pr 0.000 0.000 0.000
Pr 0.625 0.750 0.875
Y 0.750 0.875 0.625
Y 0.375 0.625 0.250
Y 0.250 0.125 0.375
Y 0.125 0.875 0.750
Y 0.625 0.250 0.375
Y 0.750 0.375 0.125
Y 0.250 0.625 0.875
Y 0.875 0.125 0.250
Y 0.875 0.750 0.125
Y 0.375 0.750 0.625
Y 0.625 0.375 0.750
Y 0.125 0.250 0.875
```

Values from the calculation:
As for the space group: Ia-3d.


# 2
The following is a PBE calculation of crystalline K2ZnBi2 at its relaxed geometry, from the Alexandria database. Values from VASP.

```
&SYSTEM
  ibrav = 0, nat = 10, ntyp = 3
/
ATOMIC_SPECIES
Zn 65.41 Zn.upf
Bi 208.98 Bi.upf
K 39.10 K.upf
CELL_PARAMETERS angstrom
-0.735 1.944 -4.511
0.961 -4.988 -5.041
-11.226 -3.147 -2.262
ATOMIC_POSITIONS crystal
Zn 0.453 0.794 0.300
Zn 0.547 0.206 0.700
Bi 0.605 0.903 0.887
Bi 0.044 0.314 0.597
Bi 0.395 0.097 0.113
Bi 0.956 0.686 0.403
K 0.887 0.318 0.909
K 0.297 0.762 0.644
K 0.113 0.682 0.091
K 0.703 0.238 0.356
```

Values from the calculation:
The value obtained for the polymorph energy (0 for the lowest one) is 0 meV/atom. As for the space group: C2/m.


# 3
The following is a PBE calculation of crystalline MgTi2 at its relaxed geometry, from the Alexandria database. Values from VASP.

```
&SYSTEM
  ibrav = 0, nat = 6, ntyp = 2
/
ATOMIC_SPECIES
Ti 47.87 Ti.upf
Mg 24.30 Mg.upf
CELL_PARAMETERS angstrom
2.632 4.448 0.002
-2.632 4.448 0.002
0.000 2.800 4.687
ATOMIC_POSITIONS crystal
Ti 0.248 0.417 0.260
Ti 0.752 0.583 0.740
Ti 0.583 0.752 0.240
Ti 0.417 0.248 0.760
Mg 0.092 0.908 0.750
Mg 0.908 0.092 0.250
```

Values from the calculation:
As for the space group: C2/c.


DOS at the Fermi energy for the records above, in order: 0.79 0.13 1.08 states/eV/atom
Formation energy for the records above, in order: -0.31 -0.25 0.15 eV/atom